# 1
The following is a DFT calculation (PBE-GGA) of an optimized crystal structure of ZnAg4Au.

Output
calculated total energy: -2.671 eV per atom
energy of formation: -11.6 meV/atom
SG: No. 14
energy relative to the lowest polymorph listed for this composition: 1 meV per atom

```
ZnAg4Au
1.0
4.926 0.000 1.297
0.000 8.079 0.000
1.454 0.000 5.696
Zn Ag Au
2 8 2
direct
0.500 0.000 0.500 Zn
0.000 0.500 0.500 Zn
0.914 0.660 0.138 Ag
0.586 0.160 0.862 Ag
0.612 0.334 0.379 Ag
0.888 0.834 0.621 Ag
0.086 0.340 0.862 Ag
0.414 0.840 0.138 Ag
0.388 0.666 0.621 Ag
0.112 0.166 0.379 Ag
0.000 0.000 0.000 Au
0.500 0.500 0.000 Au
```

***

# 2
The following is a DFT calculation (PBE-GGA) of an optimized crystal structure of La2PrH6.

Output
calculated total energy: -4.508 eV per atom
SG: No. 139

```
La2PrH6
1.0
3.871 0.000 -0.816
-0.172 3.868 -0.816
-0.154 -0.161 8.860
La Pr H
2 1 6
direct
0.335 0.335 0.669 La
0.665 0.665 0.331 La
0.000 0.000 0.000 Pr
0.919 0.419 0.838 H
0.419 0.919 0.838 H
0.081 0.581 0.162 H
0.750 0.250 0.500 H
0.250 0.750 0.500 H
0.581 0.081 0.162 H
```

***

Q: Among the records above, which one has the highest calculated total energy?
A: ZnAg4Au